# La8As3PtBr4 | Alexandria | PBE | optimized geometry
# Uncorrected energy = -268.7 eV for the cell shown
# E_form (uncorrected) = -23.47 eV/f.u.
data_La8As3PtBr4
_chemical_formula_sum 'La24 As9 Pt3 Br12'
_space_group_name_H-M_alt 'R -3 m'
_space_group_IT_number 166
_space_group_name_Hall '-R 3 2"'
_cell_length_a 8.7555
_cell_length_b 8.7555
_cell_length_c 21.5672
_cell_angle_alpha 90.00
_cell_angle_beta 90.00
_cell_angle_gamma 120.00
loop_
_atom_site_label
_atom_site_type_symbol
_atom_site_fract_x
_atom_site_fract_y
_atom_site_fract_z
La1 La 0.0000 0.0000 0.2410
La2 La 0.0062 0.5031 0.2402
As1 As 0.0000 0.5000 0.5000
Pt1 Pt 0.0000 0.0000 0.5000
Br1 Br 0.0000 0.0000 0.0000
Br2 Br 0.0000 0.5000 0.0000